Record 1
DFT (PBE) results for crystalline In2SBr2 at its relaxed geometry.

The structure belongs to space group P2_1/c (No. 14); the cell edges are 12.8655, 7.4376 and 7.4369 Å and the angles 90.00°, 105.31° and 90.00°. The distinct sites, in fractional coordinates, are In at (0.0199, 0.1414, 0.3201), In at (0.3866, 0.5718, 0.1986), S at (0.1096, 0.1185, 0.6727), Br at (0.1412, 0.6096, 0.6780) and Br at (0.4390, 0.2487, 0.9744).

The calculation puts the total energy at -64.52 eV per cell. As for the volume: 686.37 Å³/cell. The energy relative to the elements, uncorrected is -0.64 eV/atom.

***

Record 2
DFT (PBE) results for crystalline In2SBr at its relaxed geometry.

The structure belongs to space group P1 (No. 1); the cell edges are 3.9733, 6.0744 and 10.5504 Å and the angles 83.25°, 89.79° and 71.16°. The distinct sites, in fractional coordinates, are In at (0.0000, 0.0000, 0.0000), In at (0.2218, 0.5505, 0.3487), In at (0.5088, 0.9370, 0.5646), In at (0.7551, 0.4870, 0.9138), S at (0.1389, 0.7251, 0.8135), S at (0.6166, 0.7618, 0.1003), Br at (0.8286, 0.3156, 0.6274) and Br at (0.9110, 0.1713, 0.2862).

The calculation puts the total energy at -26.84 eV per cell. As for the volume: 239.17 Å³/cell. The energy relative to the elements, uncorrected is -0.54 eV/atom.

***

Record 3
DFT (PBE) results for crystalline InSBr2 at its relaxed geometry.

The structure belongs to space group P1 (No. 1); the cell edges are 4.0370, 5.5406 and 6.1226 Å and the angles 76.66°, 89.13° and 79.07°. The distinct sites, in fractional coordinates, are In at (0.0000, 0.0000, 0.0000), S at (0.5748, 0.7311, 0.0225), Br at (0.1866, 0.1021, 0.3668) and Br at (0.8516, 0.4260, 0.7045).

The calculation puts the total energy at -11.62 eV per cell. As for the volume: 130.77 Å³/cell. The energy relative to the elements, uncorrected is -0.35 eV/atom.

***

Record 4
DFT (PBE) results for crystalline In2SBr at its relaxed geometry.

The structure belongs to space group Cm (No. 8); the cell edges are 11.7603, 3.9992 and 11.7730 Å and the angles 90.00°, 108.45° and 90.00°. The distinct sites, in fractional coordinates, are In at (0.0000, 0.0000, 0.0000), In at (0.0069, 0.5000, 0.4388), In at (0.2489, 0.5000, 0.1986), In at (0.3380, 0.0000, 0.5668), S at (0.0023, 0.0000, 0.3059), S at (0.2150, 0.5000, 0.5949), Br at (0.2964, 0.0000, 0.0263) and Br at (0.4921, 0.0000, 0.7943).

The calculation puts the total energy at -53.60 eV per cell. As for the volume: 525.24 Å³/cell. The energy relative to the elements, uncorrected is -0.53 eV/atom.

***

Record 5
DFT (PBE) results for crystalline InSBr2 at its relaxed geometry.

The structure belongs to space group R-3m (No. 166, hexagonal axes); the cell edges are 4.8279, 4.8279 and 24.6286 Å and the angles 90.00°, 90.00° and 120.00°. The distinct sites, in fractional coordinates, are In at (0.0000, 0.0000, 0.0000), S at (0.0000, 0.0000, 0.5000) and Br at (0.0000, 0.0000, 0.4010).

The calculation puts the total energy at -30.13 eV per cell. As for the volume: 497.15 Å³/cell. The energy relative to the elements, uncorrected is 0.04 eV/atom.

***

Record 6
DFT (PBE) results for crystalline InSBr2 at its relaxed geometry.

The structure belongs to space group P1 (No. 1); the cell edges are 5.7904, 7.6307 and 7.9795 Å and the angles 80.44°, 74.28° and 76.88°. The distinct sites, in fractional coordinates, are In at (0.0000, 0.0000, 0.0000), In at (0.3286, 0.4324, 0.8090), S at (0.4226, 0.1094, 0.9542), S at (0.7343, 0.9576, 0.8149), Br at (0.2481, 0.6437, 0.0568), Br at (0.4674, 0.5757, 0.5083), Br at (0.8254, 0.0331, 0.3188) and Br at (0.8677, 0.3895, 0.8811).

The calculation puts the total energy at -24.82 eV per cell. As for the volume: 328.46 Å³/cell. The energy relative to the elements, uncorrected is -0.55 eV/atom.

***

Question: The highest energy relative to the elements, uncorrected belongs to which entry?
Answer: number 5